Density functional theory data (meta-GGA SCAN) for a PBEsol-optimized structure of RbCo2N.

It has space group Fd-3m (No. 227, origin choice 2), with a = 8.138 Å, b = 8.138 Å, c = 8.138 Å, α = 90.00°, β = 90.00° and γ = 90.00°. Symmetry generates all atoms from Rb at (0.125, 0.125, 0.125), Co at (0.000, 0.000, 0.500) and N at (0.125, 0.125, 0.625).

The density of states at the Fermi level is 0.38 states/eV/cell. As for the energy relative to the elements, uncorrected: 0.77 eV per formula unit.

---

Density functional theory data (meta-GGA SCAN) for a PBEsol-optimized structure of RbTi2CoN.

It has space group P4/mmm (No. 123), with a = 4.328 Å, b = 4.328 Å, c = 3.821 Å, α = 90.00°, β = 90.00° and γ = 90.00°. Symmetry generates all atoms from Rb at (0.000, 0.000, 0.000), Ti at (0.000, 0.500, 0.500), Co at (0.500, 0.500, 0.000) and N at (0.500, 0.500, 0.500).

The density of states at the Fermi level is 4.28 states/eV/cell. As for the energy relative to the elements, uncorrected: 3.07 eV per formula unit.

---

Density functional theory data (meta-GGA SCAN) for a PBEsol-optimized structure of CoReRh2N.

It has space group P4/mmm (No. 123), with a = 4.028 Å, b = 4.028 Å, c = 3.687 Å, α = 90.00°, β = 90.00° and γ = 90.00°. Symmetry generates all atoms from Co at (0.000, 0.000, 0.000), Re at (0.500, 0.500, 0.000), Rh at (0.000, 0.500, 0.500) and N at (0.000, 0.000, 0.500).

The density of states at the Fermi level is 4.41 states/eV/cell. As for the energy relative to the elements, uncorrected: 2.86 eV per formula unit.

---

Density functional theory data (meta-GGA SCAN) for a PBEsol-optimized structure of CoReS2N.

It has space group P4/mmm (No. 123), with a = 4.701 Å, b = 4.701 Å, c = 3.687 Å, α = 90.00°, β = 90.00° and γ = 90.00°. Symmetry generates all atoms from Co at (0.000, 0.000, 0.000), Re at (0.500, 0.500, 0.500), S at (0.000, 0.500, 0.500) and N at (0.500, 0.500, 0.000).

The density of states at the Fermi level is 2.78 states/eV/cell. As for the energy relative to the elements, uncorrected: 2.75 eV per formula unit.